[1]
This record from Alexandria describes a relaxed structure of ZrMnAs4. The functional is PBE.

Lattice parameters (Å, degrees): 5.4791 5.4791 5.4791 60.00 60.00 60.00
Last column: nearest neighbours and their distance in Å.
Positions (direct):
As: 0.3754 0.8739 0.3754  6 As 2.73-2.75
As: 0.3754 0.3754 0.3754  6 As 2.73-2.75
As: 0.3754 0.3754 0.8739  6 As 2.73-2.75
As: 0.8739 0.3754 0.3754  6 As 2.73-2.75
Mn: 0.7500 0.7500 0.7500  12 As 3.21, 4 Zr 3.36
Zr: 0.0000 0.0000 0.0000  12 As 3.21, 4 Mn 3.36

SG: F-43m, No. 216
E_tot: -5.752 eV/atom
formation energy from the elements: 301 meV per atom
M_tot: 3.559 μB/f.u.

***

[2]
This record from Alexandria describes a relaxed structure of Pa2CoSi2B4. The functional is PBE.

Lattice parameters (Å, degrees): 5.4144 5.4144 5.4144 91.62 119.07 119.07
Last column: nearest neighbours and their distance in Å.
Positions (direct):
B: 0.5986 0.2993 0.2993  2 Si 2.13, 2 B 2.20, 1 Co 2.32
B: 0.4014 0.7007 0.7007  2 Si 2.13, 2 B 2.20, 1 Co 2.32
B: 0.0000 0.2993 0.7007  2 Si 2.13, 2 B 2.20, 1 Co 2.32
B: 0.0000 0.7007 0.2993  2 Si 2.13, 2 B 2.20, 1 Co 2.32
Pa: 0.5000 0.2500 0.7500  8 B 2.73, 4 Si 2.78
Pa: 0.5000 0.7500 0.2500  8 B 2.73, 4 Si 2.78
Co: 0.0000 0.0000 0.0000  2 Si 2.32, 4 B 2.32
Si: 0.0000 0.6924 0.6924  4 B 2.13, 1 Co 2.32
Si: 0.0000 0.3076 0.3076  4 B 2.13, 1 Co 2.32

SG: I4/mmm, No. 139
E_form (uncorrected): -0.2384 eV/atom
E_tot: -7.311 eV/atom
M_tot: 0.002 μB/f.u.

***

[3]
This record from Alexandria describes a relaxed structure of CuOF. The functional is PBE.

Lattice parameters (Å, degrees): 2.9981 2.9981 4.6532 90.00 90.00 120.00
Last column: nearest neighbours and their distance in Å.
Positions (direct):
F: 0.0000 0.0000 0.1082  3 Cu 2.06
Cu: 0.6667 0.3333 0.3468  3 O 1.96, 3 F 2.06
O: 0.3333 0.6667 0.5450  3 Cu 1.96

SG: P3m1, No. 156
E_form (uncorrected): -0.7464 eV/atom
E_tot: -4.388 eV/atom
M_tot: 2.003 μB/f.u.

***

[4]
This record from Alexandria describes a relaxed structure of SiOs3I. The functional is PBE.

Lattice parameters (Å, degrees): 4.8159 4.8159 4.8159 90.00 90.00 90.00
Last column: nearest neighbours and their distance in Å.
Positions (direct):
I: 0.0000 0.0000 0.0000  6 Os 2.41
Os: 0.0000 0.0000 0.5000  2 I 2.41
Os: 0.0000 0.5000 0.0000  2 I 2.41
Os: 0.5000 0.0000 0.0000  2 I 2.41
Si: 0.5000 0.5000 0.5000  12 Os 3.41

SG: Pm-3m, No. 221
E_form (uncorrected): 2.9662 eV/atom
E_tot: -5.166 eV/atom
M_tot: 0.000 μB/f.u.

***

[5]
This record from Alexandria describes a relaxed structure of Mg3Cd4Ag4. The functional is PBE.

Lattice parameters (Å, degrees): 3.3176 3.6947 17.7091 95.90 95.41 89.89
Last column: nearest neighbours and their distance in Å.
Positions (direct):
Cd: 0.2753 0.2763 0.5506  4 Ag 2.97-2.98, 6 Cd 3.04-3.32, 1 Mg 3.10
Cd: 0.7247 0.7237 0.4494  4 Ag 2.97-2.98, 6 Cd 3.04-3.32, 1 Mg 3.10
Cd: 0.9110 0.9117 0.8229  5 Ag 2.95-3.14, 5 Mg 2.99-3.10
Cd: 0.0890 0.0883 0.1771  5 Ag 2.95-3.14, 5 Mg 2.99-3.11
Ag: 0.4568 0.4569 0.9137  4 Mg 2.90-2.91, 4 Cd 2.95, 1 Ag 3.03
Ag: 0.1783 0.1770 0.3561  4 Mg 2.88-2.89, 5 Cd 2.97-3.14
Ag: 0.8217 0.8231 0.6439  4 Mg 2.88-2.89, 5 Cd 2.97-3.14
Ag: 0.5432 0.5431 0.0863  4 Mg 2.90-2.91, 4 Cd 2.95, 1 Ag 3.03
Mg: 0.6371 0.6364 0.2725  4 Ag 2.88-2.89, 5 Cd 2.99-3.10
Mg: 0.0000 0.0000 0.0000  8 Ag 2.90-2.91, 2 Cd 3.10-3.11
Mg: 0.3629 0.3636 0.7275  4 Ag 2.88-2.89, 5 Cd 2.99-3.10

SG: P-1, No. 2
E_tot: -1.939 eV/atom
formation energy from the elements: -134 meV per atom
M_tot: 0.000 μB/f.u.

***

[6]
This record from Alexandria describes a relaxed structure of BaLiNp2Se4. The functional is PBE.

Lattice parameters (Å, degrees): 4.2721 7.3167 14.4263 90.00 90.00 106.97
Last column: nearest neighbours and their distance in Å.
Positions (direct):
Se: 0.7361 0.4722 0.6143  1 Li 2.49
Se: 0.5629 0.1257 0.2500  2 Li 2.49
Se: 0.4371 0.8743 0.7500  2 Li 2.49
Se: 0.0000 0.0000 0.0000  4 Np 2.93
Se: 0.0000 0.0000 0.5000  4 Np 2.93
Se: 0.2639 0.5278 0.1143  1 Li 2.49
Se: 0.2639 0.5278 0.3857  1 Li 2.49
Se: 0.7361 0.4722 0.8857  1 Li 2.49
Ba: 0.1145 0.2290 0.7500  6 Se 3.27-3.36
Ba: 0.8855 0.7710 0.2500  6 Se 3.27-3.36
Li: 0.1544 0.3088 0.2500  4 Se 2.49
Li: 0.8456 0.6912 0.7500  4 Se 2.49
Np: 0.6303 0.2605 0.4433  6 Se 2.88-2.96
Np: 0.3697 0.7395 0.9433  6 Se 2.88-2.96
Np: 0.3697 0.7395 0.5567  6 Se 2.88-2.96
Np: 0.6303 0.2605 0.0567  6 Se 2.88-2.96

SG: Cmcm, No. 63
E_form (uncorrected): -1.3661 eV/atom
E_tot: -6.823 eV/atom
M_tot: 8.946 μB/f.u.

***

[7]
This record from Alexandria describes a relaxed structure of MgAg6Au8. The functional is PBE.

Lattice parameters (Å, degrees): 7.7716 7.7716 7.1794 57.23 57.23 60.00
Last column: nearest neighbours and their distance in Å.
Positions (direct):
Au: 0.1842 0.8634 0.3871  4 Ag 2.74-3.06, 4 Au 2.82-2.93
Au: 0.1366 0.4347 0.6129  4 Ag 2.74-3.06, 4 Au 2.82-2.93
Au: 0.2480 0.2480 0.2559  6 Au 2.83-3.13, 6 Ag 2.93-3.05
Au: 0.7520 0.7520 0.7441  6 Au 2.83-3.13, 6 Ag 2.93-3.05
Au: 0.4347 0.8158 0.6129  4 Ag 2.74-3.06, 4 Au 2.82-2.93
Au: 0.8634 0.5653 0.3871  4 Ag 2.74-3.06, 4 Au 2.82-2.93
Au: 0.8158 0.1366 0.6129  4 Ag 2.74-3.06, 4 Au 2.82-2.93
Au: 0.5653 0.1842 0.3871  4 Ag 2.74-3.06, 4 Au 2.82-2.93
Ag: 0.3650 0.0874 0.8854  3 Ag 2.72-3.04, 5 Au 2.74-3.05, 1 Mg 2.83
Ag: 0.6350 0.9126 0.1146  3 Ag 2.72-3.04, 5 Au 2.74-3.05, 1 Mg 2.83
Ag: 0.3379 0.6350 0.1146  3 Ag 2.72-3.04, 5 Au 2.74-3.05, 1 Mg 2.83
Ag: 0.6621 0.3650 0.8854  3 Ag 2.72-3.04, 5 Au 2.74-3.05, 1 Mg 2.83
Ag: 0.0874 0.6621 0.8854  3 Ag 2.72-3.04, 5 Au 2.74-3.05, 1 Mg 2.83
Ag: 0.9126 0.3379 0.1146  3 Ag 2.72-3.04, 5 Au 2.74-3.05, 1 Mg 2.83
Mg: 0.0000 0.0000 0.0000  6 Ag 2.83

SG: R-3, No. 148
E_tot: -2.985 eV/atom
formation energy from the elements: 10 meV per atom
M_tot: 0.000 μB/f.u.

***

[8]
This record from Alexandria describes a relaxed structure of GdCrCu4. The functional is PBE.

Lattice parameters (Å, degrees): 5.0791 5.0791 5.0791 60.00 60.00 60.00
Last column: nearest neighbours and their distance in Å.
Positions (direct):
Gd: 0.2500 0.2500 0.2500  12 Cu 2.98, 4 Cr 3.11
Cr: 0.0000 0.0000 0.0000  12 Cu 2.97, 4 Gd 3.11
Cu: 0.6265 0.1206 0.6265  6 Cu 2.51-2.57
Cu: 0.1206 0.6265 0.6265  6 Cu 2.51-2.57
Cu: 0.6265 0.6265 0.6265  6 Cu 2.51-2.57
Cu: 0.6265 0.6265 0.1206  6 Cu 2.51-2.57

SG: F-43m, No. 216
E_tot: -6.684 eV/atom
formation energy from the elements: -2 meV per atom
M_tot: 12.086 μB/f.u.

***

[9]
This record from Alexandria describes a relaxed structure of AcTb6Pr2Dy3. The functional is PBE.

Lattice parameters (Å, degrees): 6.2764 6.2764 11.9510 95.00 95.00 119.97
Last column: nearest neighbours and their distance in Å.
Positions (direct):
Dy: 0.1669 0.8331 0.5000  6 Tb 3.54-3.55, 6 Dy 3.62-3.63
Dy: 0.8331 0.1669 0.5000  6 Tb 3.54-3.55, 6 Dy 3.62-3.63
Dy: 0.5000 0.5000 0.5000  6 Tb 3.54-3.55, 6 Dy 3.62-3.63
Tb: 0.7511 0.7511 0.2570  3 Dy 3.54-3.55, 6 Tb 3.61-3.65, 2 Pr 3.68, 1 Ac 3.68
Tb: 0.2489 0.2489 0.7430  3 Dy 3.54-3.55, 6 Tb 3.61-3.65, 2 Pr 3.68, 1 Ac 3.68
Tb: 0.0864 0.4215 0.2567  3 Dy 3.54-3.55, 6 Tb 3.61-3.65, 2 Pr 3.67, 1 Ac 3.68
Tb: 0.5785 0.9136 0.7433  3 Dy 3.54-3.55, 6 Tb 3.61-3.65, 2 Pr 3.67, 1 Ac 3.68
Tb: 0.4215 0.0864 0.2567  3 Dy 3.54-3.55, 6 Tb 3.61-3.65, 2 Pr 3.67, 1 Ac 3.68
Tb: 0.9136 0.5785 0.7433  3 Dy 3.54-3.55, 6 Tb 3.61-3.65, 2 Pr 3.67, 1 Ac 3.68
Pr: 0.3334 0.6666 0.0000  3 Pr 3.62-3.63, 3 Ac 3.62, 6 Tb 3.67-3.68
Pr: 0.6666 0.3334 0.0000  3 Pr 3.62-3.63, 3 Ac 3.62, 6 Tb 3.67-3.68
Ac: 0.0000 0.0000 0.0000  6 Pr 3.62, 6 Tb 3.68

SG: C2/m, No. 12
E_tot: -4.575 eV/atom
formation energy from the elements: 30 meV per atom
M_tot: 0.000 μB/f.u.

***

[10]
This record from Alexandria describes a relaxed structure of BaCl2F. The functional is PBE.

Lattice parameters (Å, degrees): 7.6814 7.6814 7.6814 38.18 38.18 38.18
Last column: nearest neighbours and their distance in Å.
Positions (direct):
F: 0.0000 0.0000 0.0000  2 Cl 2.41
Ba: 0.5000 0.5000 0.5000  6 Cl 3.12
Cl: 0.8872 0.8872 0.8872  1 F 2.41
Cl: 0.1128 0.1128 0.1128  1 F 2.41

SG: R-3m, No. 166
E_form (uncorrected): -1.7903 eV/atom
E_tot: -3.662 eV/atom
M_tot: 1.000 μB/f.u.

***

[11]
This record from Alexandria describes a relaxed structure of LaTiI2N. The functional is PBE.

Lattice parameters (Å, degrees): 6.4304 6.4304 4.1639 90.00 90.00 90.00
Last column: nearest neighbours and their distance in Å.
Positions (direct):
Ti: 0.5000 0.5000 0.5000  8 I 3.83, 2 Ti 4.16
La: 0.0000 0.0000 0.0000  2 N 2.08
N: 0.0000 0.0000 0.5000  2 La 2.08
I: 0.5000 0.0000 0.0000  2 La 3.22
I: 0.0000 0.5000 0.0000  2 La 3.22

SG: P4/mmm, No. 123
E_form (uncorrected): 0.1855 eV/atom
E_tot: -4.664 eV/atom
M_tot: 0.295 μB/f.u.

***

[12]
This record from Alexandria describes a relaxed structure of Ac2HgRhO5. The functional is PBE.

Lattice parameters (Å, degrees): 5.7118 7.4286 7.4286 90.00 90.00 90.00
Last column: nearest neighbours and their distance in Å.
Positions (direct):
O: 0.2518 0.8747 0.3747  1 Rh 1.95
O: 0.7482 0.3747 0.1253  1 Rh 1.95
O: 0.7482 0.6253 0.8747  1 Rh 1.95
O: 0.2518 0.1253 0.6253  1 Rh 1.95
O: 0.2518 0.3747 0.1253  1 Rh 1.95
O: 0.7482 0.8747 0.3747  1 Rh 1.95
O: 0.2518 0.6253 0.8747  1 Rh 1.95
O: 0.7482 0.1253 0.6253  1 Rh 1.95
O: 0.5000 0.5000 0.5000  4 Ac 2.72, 2 Hg 2.86
O: 0.5000 0.0000 0.0000  4 Ac 2.72, 2 Hg 2.86
Ac: 0.5000 0.8189 0.6811  8 O 2.48-2.72
Ac: 0.5000 0.6811 0.1811  8 O 2.48-2.72
Ac: 0.5000 0.1811 0.3189  8 O 2.48-2.72
Ac: 0.5000 0.3189 0.8189  8 O 2.48-2.72
Hg: 0.0000 0.5000 0.5000  2 O 2.86
Hg: 0.0000 0.0000 0.0000  2 O 2.86
Rh: 0.0000 0.0000 0.5000  4 O 1.95
Rh: 0.0000 0.5000 0.0000  4 O 1.95

SG: P4/mbm, No. 127
E_form (uncorrected): -1.9139 eV/atom
E_tot: -6.432 eV/atom
M_tot: 2.211 μB/f.u.

***

[13]
This record from Alexandria describes a relaxed structure of Zr2NbAu. The functional is PBE.

Lattice parameters (Å, degrees): 4.8296 4.8296 4.8296 60.00 60.00 60.00
Last column: nearest neighbours and their distance in Å.
Positions (direct):
Au: 0.5000 0.5000 0.5000  8 Zr 2.96
Nb: 0.0000 0.0000 0.0000  8 Zr 2.96
Zr: 0.2500 0.2500 0.2500  4 Au 2.96, 4 Nb 2.96
Zr: 0.7500 0.7500 0.7500  4 Nb 2.96, 4 Au 2.96

SG: Fm-3m, No. 225
E_tot: -7.812 eV/atom
formation energy from the elements: -201 meV per atom
M_tot: 0.000 μB/f.u.

***

[14]
This record from Alexandria describes a relaxed structure of NaPa2Te4. The functional is PBE.

Lattice parameters (Å, degrees): 8.7006 8.7006 8.7006 112.99 102.63 112.99
Last column: nearest neighbours and their distance in Å.
Positions (direct):
Na: 0.0000 0.0000 0.0000  4 Te 3.04
Na: 0.7500 0.5000 0.2500  4 Te 3.04
Pa: 0.3750 0.7791 0.6541  6 Te 3.10-3.14
Pa: 0.8750 0.2209 0.5959  6 Te 3.10-3.14
Pa: 0.3459 0.7209 0.1250  6 Te 3.10-3.14
Pa: 0.4041 0.2791 0.6250  6 Te 3.10-3.14
Te: 0.1406 0.8229 0.3679  1 Na 3.04, 3 Pa 3.10-3.14
Te: 0.6321 0.7727 0.4551  1 Na 3.04, 3 Pa 3.10-3.14
Te: 0.2051 0.2727 0.8821  1 Na 3.04, 3 Pa 3.10-3.14
Te: 0.1179 0.3229 0.3906  1 Na 3.04, 3 Pa 3.10-3.14
Te: 0.0676 0.6771 0.7949  1 Na 3.04, 3 Pa 3.10-3.14
Te: 0.6824 0.2273 0.8594  1 Na 3.04, 3 Pa 3.10-3.14
Te: 0.5449 0.1771 0.3176  1 Na 3.04, 3 Pa 3.10-3.14
Te: 0.6094 0.7273 0.9324  1 Na 3.04, 3 Pa 3.10-3.14

SG: I-42d, No. 122
E_form (uncorrected): -0.7758 eV/atom
E_tot: -5.473 eV/atom
M_tot: 3.002 μB/f.u.

***

[15]
This record from Alexandria describes a relaxed structure of NiBiIN2. The functional is PBE.

Lattice parameters (Å, degrees): 4.2140 4.2140 7.1744 90.00 90.00 90.00
Last column: nearest neighbours and their distance in Å.
Positions (direct):
N: 0.0000 0.5000 0.0000  2 Bi 2.11
N: 0.5000 0.0000 0.0000  2 Bi 2.11
I: 0.0000 0.0000 0.5000  4 Ni 2.98
Ni: 0.5000 0.5000 0.5000  4 I 2.98
Bi: 0.0000 0.0000 0.0000  4 N 2.11

SG: P4/mmm, No. 123
E_form (uncorrected): 1.7712 eV/atom
E_tot: -3.801 eV/atom
M_tot: 2.282 μB/f.u.

***

[16]
This record from Alexandria describes a relaxed structure of Ba2LaI. The functional is PBE.

Lattice parameters (Å, degrees): 4.1240 4.1240 13.1575 80.98 80.98 60.00
Last column: nearest neighbours and their distance in Å.
Positions (direct):
Ba: 0.9018 0.9018 0.2945  3 I 3.57, 1 La 3.81
Ba: 0.0982 0.0982 0.7055  3 I 3.57, 1 La 3.81
La: 0.0000 0.0000 0.0000  2 Ba 3.81, 6 La 4.12
I: 0.5000 0.5000 0.5000  6 Ba 3.57

SG: R-3m, No. 166
E_form (uncorrected): -0.3143 eV/atom
E_tot: -2.895 eV/atom
M_tot: 1.154 μB/f.u.

***

[17]
This record from Alexandria describes a relaxed structure of NpPd2Rh3. The functional is PBE.

Lattice parameters (Å, degrees): 5.1753 5.5434 7.4688 111.78 90.00 90.00
Last column: nearest neighbours and their distance in Å.
Positions (direct):
Pd: 0.5000 0.2473 0.0000  4 Pd 2.59-2.80, 4 Rh 2.75-2.84
Pd: 0.5000 0.7527 0.0000  4 Pd 2.59-2.80, 4 Rh 2.75-2.84
Pd: 0.0000 0.7527 0.0000  4 Pd 2.59-2.80, 4 Rh 2.75-2.84
Pd: 0.0000 0.2473 0.0000  4 Pd 2.59-2.80, 4 Rh 2.75-2.84
Rh: 0.7500 0.4276 0.3502  1 Np 2.61, 3 Rh 2.74-2.80, 2 Pd 2.75
Rh: 0.7500 0.8468 0.6936  6 Rh 2.75-2.96, 2 Np 2.78, 4 Pd 2.84
Rh: 0.2500 0.1532 0.3064  6 Rh 2.75-2.96, 2 Np 2.78, 4 Pd 2.84
Rh: 0.7500 0.9227 0.3502  1 Np 2.61, 3 Rh 2.74-2.80, 2 Pd 2.75
Rh: 0.2500 0.5724 0.6498  1 Np 2.61, 3 Rh 2.74-2.80, 2 Pd 2.75
Rh: 0.2500 0.0773 0.6498  1 Np 2.61, 3 Rh 2.74-2.80, 2 Pd 2.75
Np: 0.2500 0.6663 0.3326  4 Rh 2.61-2.78
Np: 0.7500 0.3337 0.6674  4 Rh 2.61-2.78

SG: Cmcm, No. 63
E_tot: -7.654 eV/atom
formation energy from the elements: -91 meV per atom
M_tot: 1.550 μB/f.u.

***

[18]
This record from Alexandria describes a relaxed structure of Re2AgPb2. The functional is PBE.

Lattice parameters (Å, degrees): 5.3258 5.3258 5.5689 61.43 61.43 90.00
Last column: nearest neighbours and their distance in Å.
Positions (direct):
Pb: 0.2500 0.7500 0.5000  4 Re 2.82
Pb: 0.7500 0.2500 0.5000  4 Re 2.82
Ag: 0.0000 0.0000 0.0000  2 Re 2.98
Re: 0.6369 0.6369 0.7261  1 Re 2.25
Re: 0.3631 0.3631 0.2739  1 Re 2.25

SG: I4/mmm, No. 139
E_tot: -5.974 eV/atom
formation energy from the elements: 1059 meV per atom
M_tot: 0.000 μB/f.u.

***

[19]
This record from Alexandria describes a relaxed structure of PS. The functional is PBE.

Lattice parameters (Å, degrees): 3.4874 3.4874 10.7500 90.00 90.00 120.00
Last column: nearest neighbours and their distance in Å.
Positions (direct):
S: 0.6667 0.3333 0.2419  3 P 2.27
S: 0.3333 0.6667 0.7419  3 P 2.27
P: 0.6667 0.3333 0.8401  3 S 2.27
P: 0.3333 0.6667 0.3401  3 S 2.27

SG: P6_3mc, No. 186
E_form (uncorrected): 0.5190 eV/atom
E_tot: -4.250 eV/atom
M_tot: 0.001 μB/f.u.

***

[20]
This record from Alexandria describes a relaxed structure of Cs2KIrI6. The functional is PBE.

Lattice parameters (Å, degrees): 8.6200 8.6200 8.6192 60.00 60.00 90.00
Last column: nearest neighbours and their distance in Å.
Positions (direct):
Cs: 0.7500 0.2500 0.5000  12 I 4.32
Cs: 0.2500 0.7500 0.5000  12 I 4.32
I: 0.7783 0.2217 0.0000  1 Ir 2.70
I: 0.7783 0.7783 0.0000  1 Ir 2.70
I: 0.7783 0.7783 0.4434  1 Ir 2.70
I: 0.2217 0.2217 0.0000  1 Ir 2.70
I: 0.2217 0.7783 0.0000  1 Ir 2.70
I: 0.2217 0.2217 0.5566  1 Ir 2.70
Ir: 0.0000 0.0000 0.0000  6 I 2.70
K: 0.5000 0.5000 0.0000  6 I 3.39

SG: Fm-3m, No. 225
E_form (uncorrected): -0.9008 eV/atom
E_tot: -2.997 eV/atom
M_tot: 0.000 μB/f.u.